! Mg2MnGaRh (GGA-PBE, relaxed); values from VASP
! formation enthalpy at 0 K = 2.70 eV per formula unit
! magnetization = 4.47 μB per cell
! N(E_F) = 3.5 states/eV/f.u.
! total energy = -0.147 hartree per atom
&SYSTEM
  ibrav = 0, nat = 5, ntyp = 4
/
ATOMIC_SPECIES
Mg 24.30 Mg.upf
Mn 54.94 Mn.upf
Ga 69.72 Ga.upf
Rh 102.91 Rh.upf
ATOMIC_POSITIONS angstrom
Mg 0.000 2.417 0.000
Mg 2.417 0.000 0.000
Mn 0.000 0.000 2.303
Ga 2.417 2.417 0.000
Rh 2.417 2.417 2.303
CELL_PARAMETERS angstrom
4.833 0.000 0.000
0.000 4.833 0.000
0.000 0.000 4.606